No. 1
## NaCaGa2Pd (PBE)

Data for a geometry-optimized NaCaGa2Pd structure.

```
NaCaGa2Pd
1.0
4.9355 0.0000 0.0000
0.0000 4.9355 0.0000
0.0000 0.0000 5.3946
Na Ca Ga Pd
1 1 2 1
Direct
0.0000 0.0000 0.0000
0.0000 0.0000 0.5000
0.0000 0.5000 0.0000
0.5000 0.0000 0.0000
0.5000 0.5000 0.5000
```

Values from the calculation:
ΔE_f = 654 meV per atom

No. 2
## NaCa2GaPd (PBE)

Data for a geometry-optimized NaCa2GaPd structure.

```
NaCa2GaPd
1.0
5.6354 0.0000 0.0000
0.0000 5.6354 0.0000
0.0000 0.0000 4.8663
Na Ca Ga Pd
1 2 1 1
Direct
0.0000 0.0000 0.0000
0.0000 0.5000 0.5000
0.5000 0.0000 0.5000
0.5000 0.5000 0.0000
0.5000 0.5000 0.5000
```

Values from the calculation:
ΔE_f = -323 meV per atom

No. 3
## NaCaPmGa (PBE)

Data for a geometry-optimized NaCaPmGa structure.

```
NaCaPmGa
1.0
7.6178 0.0000 0.0000
0.0000 7.6178 0.0000
0.0000 0.0000 7.6178
Na Ca Pm Ga
4 4 4 4
Direct
0.0000 0.0000 0.0000
0.0000 0.5000 0.5000
0.5000 0.0000 0.5000
0.5000 0.5000 0.0000
0.2500 0.2500 0.7500
0.2500 0.7500 0.2500
0.7500 0.2500 0.2500
0.7500 0.7500 0.7500
0.2500 0.2500 0.2500
0.2500 0.7500 0.7500
0.7500 0.2500 0.7500
0.7500 0.7500 0.2500
0.0000 0.0000 0.5000
0.0000 0.5000 0.0000
0.5000 0.0000 0.0000
0.5000 0.5000 0.5000
```

Values from the calculation:
ΔE_f = -153 meV per atom

No. 4
## NaCaPrGa (PBE)

Data for a geometry-optimized NaCaPrGa structure.

```
NaCaPrGa
1.0
7.6762 0.0000 0.0000
0.0000 7.6762 0.0000
0.0000 0.0000 7.6762
Na Ca Pr Ga
4 4 4 4
Direct
0.0000 0.0000 0.0000
0.0000 0.5000 0.5000
0.5000 0.0000 0.5000
0.5000 0.5000 0.0000
0.2500 0.2500 0.2500
0.2500 0.7500 0.7500
0.7500 0.2500 0.7500
0.7500 0.7500 0.2500
0.2500 0.2500 0.7500
0.2500 0.7500 0.2500
0.7500 0.2500 0.2500
0.7500 0.7500 0.7500
0.0000 0.0000 0.5000
0.0000 0.5000 0.0000
0.5000 0.0000 0.0000
0.5000 0.5000 0.5000
```

Values from the calculation:
ΔE_f = -166 meV per atom

No. 5
## NaCa2GaRh (PBE)

Data for a geometry-optimized NaCa2GaRh structure.

```
NaCa2GaRh
1.0
5.5162 0.0000 0.0000
0.0000 5.5162 0.0000
0.0000 0.0000 4.8718
Na Ca Ga Rh
1 2 1 1
Direct
0.0000 0.0000 0.0000
0.0000 0.5000 0.5000
0.5000 0.0000 0.5000
0.5000 0.5000 0.0000
0.5000 0.5000 0.5000
```

Values from the calculation:
ΔE_f = -299 meV per atom

No. 6
## NaCaGaSb (PBE)

Data for a geometry-optimized NaCaGaSb structure.

```
NaCaGaSb
1.0
7.5029 0.0000 0.0000
0.0000 7.5029 0.0000
0.0000 0.0000 7.5029
Na Ca Ga Sb
4 4 4 4
Direct
0.0000 0.0000 0.0000
0.0000 0.5000 0.5000
0.5000 0.0000 0.5000
0.5000 0.5000 0.0000
0.0000 0.0000 0.5000
0.0000 0.5000 0.0000
0.5000 0.0000 0.0000
0.5000 0.5000 0.5000
0.2500 0.2500 0.7500
0.2500 0.7500 0.2500
0.7500 0.2500 0.2500
0.7500 0.7500 0.7500
0.2500 0.2500 0.2500
0.2500 0.7500 0.7500
0.7500 0.2500 0.7500
0.7500 0.7500 0.2500
```

Values from the calculation:
E_form (uncorrected) = -0.39 eV/atom

No. 7
## NaCa2GaSe4 (PBE)

Data for a geometry-optimized NaCa2GaSe4 structure.

```
NaCa2GaSe4
1.0
5.8808 -5.7070 0.0000
5.8808 5.7070 0.0000
-5.8657 0.0000 5.8892
Na Ca Ga Se
2 4 2 8
Direct
0.0000 0.0000 0.0000
0.0000 0.0000 0.5000
0.0000 0.5000 0.0000
0.5000 0.0000 0.5000
0.5000 0.5000 0.0000
0.5000 0.5000 0.5000
0.0000 0.5000 0.5000
0.5000 0.0000 0.0000
0.2200 0.2829 0.5016
0.2487 0.7504 0.5025
0.2496 0.7513 0.9975
0.2829 0.2200 0.0016
0.7171 0.7800 0.9984
0.7504 0.2487 0.0025
0.7513 0.2496 0.4975
0.7800 0.7171 0.4984
```

Values from the calculation:
E_form (uncorrected) = -1.26 eV/atom

No. 8
## NaCaSmGa (PBE)

Data for a geometry-optimized NaCaSmGa structure.

```
NaCaSmGa
1.0
7.5987 0.0000 0.0000
0.0000 7.5987 0.0000
0.0000 0.0000 7.5987
Na Ca Sm Ga
4 4 4 4
Direct
0.0000 0.0000 0.0000
0.0000 0.5000 0.5000
0.5000 0.0000 0.5000
0.5000 0.5000 0.0000
0.2500 0.2500 0.2500
0.2500 0.7500 0.7500
0.7500 0.2500 0.7500
0.7500 0.7500 0.2500
0.2500 0.2500 0.7500
0.2500 0.7500 0.2500
0.7500 0.2500 0.2500
0.7500 0.7500 0.7500
0.0000 0.0000 0.5000
0.0000 0.5000 0.0000
0.5000 0.0000 0.0000
0.5000 0.5000 0.5000
```

Values from the calculation:
ΔE_f = -147 meV per atom

No. 9
## Na2CaGaSn2 (PBE)

Data for a geometry-optimized Na2CaGaSn2 structure.

```
Na2CaGaSn2
1.0
4.6048 0.0000 0.0000
0.0000 9.1470 0.0000
0.0000 0.0000 7.8531
Na Ca Ga Sn
4 2 2 4
Direct
0.0000 0.0814 0.0000
0.0000 0.9186 0.5000
0.5000 0.1557 0.3130
0.5000 0.8443 0.8130
0.5000 0.4536 0.9753
0.5000 0.5464 0.4753
0.0000 0.3338 0.6258
0.0000 0.6662 0.1258
0.0000 0.3763 0.2583
0.0000 0.6237 0.7583
0.5000 0.1748 0.7110
0.5000 0.8252 0.2110
```

Values from the calculation:
ΔE_f = -319 meV per atom

No. 10
## NaSr2CaGa (PBE)

Data for a geometry-optimized NaSr2CaGa structure.

```
NaSr2CaGa
1.0
6.2621 0.0000 0.0000
0.0000 6.2621 0.0000
0.0000 0.0000 5.9016
Na Sr Ca Ga
1 2 1 1
Direct
0.0000 0.0000 0.0000
0.0000 0.5000 0.5000
0.5000 0.0000 0.5000
0.5000 0.5000 0.0000
0.5000 0.5000 0.5000
```

Values from the calculation:
ΔE_f = -77 meV per atom

No. 11
## NaSrCaGa (PBE)

Data for a geometry-optimized NaSrCaGa structure.

```
NaSrCaGa
1.0
3.7954 0.0000 0.0000
0.0000 3.7954 0.0000
0.0000 0.0000 9.6209
Na Sr Ca Ga
1 1 1 1
Direct
0.0000 0.0000 0.0000
0.5000 0.5000 0.6778
0.5000 0.5000 0.2967
0.0000 0.0000 0.4696
```

Values from the calculation:
ΔE_f = -203 meV per atom

No. 12
## NaSrCa2Ga (PBE)

Data for a geometry-optimized NaSrCa2Ga structure.

```
NaSrCa2Ga
1.0
6.7627 0.0000 0.0000
0.0000 6.7627 0.0000
0.0000 0.0000 6.1067
Na Sr Ca Ga
1 1 2 1
Direct
0.0000 0.0000 0.0000
0.0000 0.0000 0.5000
0.0000 0.5000 0.5000
0.5000 0.0000 0.5000
0.5000 0.5000 0.0000
```

Values from the calculation:
ΔE_f = 954 meV per atom
excess energy over the best structure of this formula in the dataset = 1.034 eV per atom

No. 13
## NaSrCa2Ga (PBE)

Data for a geometry-optimized NaSrCa2Ga structure.

```
NaSrCa2Ga
1.0
5.9074 0.0000 0.0000
0.0000 5.9074 0.0000
0.0000 0.0000 5.8626
Na Sr Ca Ga
1 1 2 1
Direct
0.0000 0.0000 0.0000
0.5000 0.5000 0.0000
0.0000 0.5000 0.5000
0.5000 0.0000 0.5000
0.0000 0.0000 0.5000
```

Values from the calculation:
ΔE_f = -9 meV per atom
excess energy over the best structure of this formula in the dataset = 0.071 eV per atom

For reference, calculated total energy by record: -2.260 -3.031 -2.928 -2.948 -3.439 -3.009 -4.043 -2.913 -2.931 -2.020 -2.211 -1.053 -2.015 eV per atom.